# NaAcAl | Alexandria | PBE | optimized geometry
data_NaAcAl
_cell_length_a 5.4150
_cell_length_b 5.4150
_cell_length_c 3.6327
_cell_angle_alpha 90.00
_cell_angle_beta 90.00
_cell_angle_gamma 120.00
_symmetry_space_group_name_H-M 'P -6 m 2'
_symmetry_Int_Tables_number 187
_symmetry_space_group_name_Hall 'P -6 2'
loop_
_atom_site_label
_atom_site_type_symbol
_atom_site_fract_x
_atom_site_fract_y
_atom_site_fract_z
Na1 Na 0.0000 0.0000 0.0000
Ac1 Ac 0.6667 0.3333 0.5000
Al1 Al 0.3333 0.6667 0.0000
# E_form: 55 meV per atom
# calculated volume: 30.75 A^3/atom
# ΔE to the lowest computed polymorph: 46.9 meV/atom
# Fermi-level density of states: 2.17 states/eV per cell
# total moment: 0.001 μB per cell
# crystal system: hexagonal

***

# AlBrCl2 | Alexandria | PBE | optimized geometry
data_AlBrCl2
_cell_length_a 13.3449
_cell_length_b 3.2268
_cell_length_c 6.9847
_cell_angle_alpha 90.00
_cell_angle_beta 118.96
_cell_angle_gamma 90.00
_symmetry_space_group_name_H-M 'C 1 m 1'
_symmetry_Int_Tables_number 8
loop_
_symmetry_equiv_pos_as_xyz
'x,y,z'
'x,-y,z'
'x+1/2,y+1/2,z'
'x+1/2,-y+1/2,z'
loop_
_atom_site_label
_atom_site_type_symbol
_atom_site_fract_x
_atom_site_fract_y
_atom_site_fract_z
Al1 Al 0.0000 0.0000 0.0000
Br1 Br 0.1435 0.5000 0.2758
Cl1 Cl 0.0029 0.5000 0.7493
Cl2 Cl 0.3680 0.0000 0.0022
# formation energy (no corrections): -1.158 eV/atom
# calculated volume: 32.89 A^3/atom
# ΔE to the lowest computed polymorph: 185.9 meV/atom
# Fermi-level density of states: 0.00 states/eV per cell
# total moment: 0.000 μB per cell
# crystal system: monoclinic

***

# CaZr2Ni | Alexandria | PBE | optimized geometry
data_CaZr2Ni
_cell_length_a 3.2743
_cell_length_b 3.2743
_cell_length_c 8.5399
_cell_angle_alpha 90.00
_cell_angle_beta 90.00
_cell_angle_gamma 90.00
_symmetry_space_group_name_H-M 'P 4 m m'
_symmetry_Int_Tables_number 99
loop_
_symmetry_equiv_pos_as_xyz
'x,y,z'
'-y,x,z'
'-x,-y,z'
'y,-x,z'
'-x,y,z'
'y,x,z'
'x,-y,z'
'-y,-x,z'
loop_
_atom_site_label
_atom_site_type_symbol
_atom_site_fract_x
_atom_site_fract_y
_atom_site_fract_z
Ca1 Ca 0.0000 0.0000 0.0000
Zr1 Zr 0.0000 0.0000 0.4016
Zr2 Zr 0.5000 0.5000 0.6478
Ni1 Ni 0.5000 0.5000 0.2433
# E_form: -80 meV per atom
# calculated volume: 22.89 A^3/atom
# ΔE to the lowest computed polymorph: 0.0 meV/atom
# Fermi-level density of states: 3.50 states/eV per cell
# total moment: 0.000 μB per cell
# crystal system: tetragonal

***

# CaPm2PuS4 | Alexandria | PBE | optimized geometry
data_CaPm2PuS4
_cell_length_a 6.9573
_cell_length_b 4.0013
_cell_length_c 6.9671
_cell_angle_alpha 90.00
_cell_angle_beta 109.39
_cell_angle_gamma 90.00
_symmetry_space_group_name_H-M 'P 1 2/m 1'
_symmetry_Int_Tables_number 10
loop_
_symmetry_equiv_pos_as_xyz
'x,y,z'
'-x,-y,-z'
'-x,y,-z'
'x,-y,z'
loop_
_atom_site_label
_atom_site_type_symbol
_atom_site_fract_x
_atom_site_fract_y
_atom_site_fract_z
Ca1 Ca 0.0000 0.0000 0.0000
Pm1 Pm 0.0000 0.5000 0.5000
Pm2 Pm 0.5000 0.0000 0.5000
Pu1 Pu 0.5000 0.5000 0.0000
S1 S 0.2483 0.5000 0.2455
S2 S 0.2528 0.0000 0.7562
# formation energy (no corrections): -1.981 eV/atom
# calculated volume: 22.87 A^3/atom
# Fermi-level density of states: 10.54 states/eV per cell
# total moment: 5.772 μB per cell
# crystal system: monoclinic

***

# Hf2BeNb2 | Alexandria | PBE | optimized geometry
data_Hf2BeNb2
_cell_length_a 6.7040
_cell_length_b 6.7040
_cell_length_c 4.2134
_cell_angle_alpha 90.00
_cell_angle_beta 90.00
_cell_angle_gamma 90.00
_symmetry_space_group_name_H-M 'P 4/m b m'
_symmetry_Int_Tables_number 127
_symmetry_space_group_name_Hall '-P 4 2ab'
loop_
_atom_site_label
_atom_site_type_symbol
_atom_site_fract_x
_atom_site_fract_y
_atom_site_fract_z
Hf1 Hf 0.1679 0.3321 0.0000
Be1 Be 0.0000 0.0000 0.5000
Nb1 Nb 0.1433 0.6433 0.5000
# E_form: 255 meV per atom
# calculated volume: 18.94 A^3/atom
# ΔE to the lowest computed polymorph: 0.0 meV/atom
# Fermi-level density of states: 6.02 states/eV per cell
# total moment: 0.000 μB per cell
# crystal system: tetragonal

***

# Sm4SiTeI2 | Alexandria | PBE | optimized geometry
data_Sm4SiTeI2
_cell_length_a 7.7611
_cell_length_b 4.3394
_cell_length_c 7.8921
_cell_angle_alpha 90.00
_cell_angle_beta 108.68
_cell_angle_gamma 90.00
_symmetry_space_group_name_H-M 'P 1 2/m 1'
_symmetry_Int_Tables_number 10
loop_
_symmetry_equiv_pos_as_xyz
'x,y,z'
'-x,-y,-z'
'-x,y,-z'
'x,-y,z'
loop_
_atom_site_label
_atom_site_type_symbol
_atom_site_fract_x
_atom_site_fract_y
_atom_site_fract_z
Sm1 Sm 0.2072 0.0000 0.1975
Sm2 Sm 0.2304 0.5000 0.7943
Si1 Si 0.0000 0.5000 0.0000
Te1 Te 0.5000 0.0000 0.0000
I1 I 0.0000 0.0000 0.5000
I2 I 0.5000 0.5000 0.5000
# formation energy (no corrections): -1.040 eV/atom
# calculated volume: 31.47 A^3/atom
# Fermi-level density of states: 2.85 states/eV per cell
# total moment: 0.000 μB per cell
# crystal system: monoclinic

***

# TaIrN2F | Alexandria | PBE | optimized geometry
data_TaIrN2F
_cell_length_a 4.0908
_cell_length_b 4.0908
_cell_length_c 3.8708
_cell_angle_alpha 90.00
_cell_angle_beta 90.00
_cell_angle_gamma 90.00
_symmetry_space_group_name_H-M 'P 4/m m m'
_symmetry_Int_Tables_number 123
_symmetry_space_group_name_Hall '-P 4 2'
loop_
_atom_site_label
_atom_site_type_symbol
_atom_site_fract_x
_atom_site_fract_y
_atom_site_fract_z
Ta1 Ta 0.0000 0.0000 0.0000
Ir1 Ir 0.5000 0.5000 0.5000
N1 N 0.0000 0.5000 0.0000
F1 F 0.0000 0.0000 0.5000
# formation energy (no corrections): 0.251 eV/atom
# calculated volume: 12.96 A^3/atom
# ΔE to the lowest computed polymorph: 0.0 meV/atom
# Fermi-level density of states: 5.00 states/eV per cell
# total moment: 0.063 μB per cell
# crystal system: tetragonal

***

# PmNi2GeN | Alexandria | PBE | optimized geometry
data_PmNi2GeN
_cell_length_a 3.5673
_cell_length_b 11.3933
_cell_length_c 6.9930
_cell_angle_alpha 90.00
_cell_angle_beta 90.00
_cell_angle_gamma 90.00
_symmetry_space_group_name_H-M 'C m c m'
_symmetry_Int_Tables_number 63
_symmetry_space_group_name_Hall '-C 2c 2'
loop_
_atom_site_label
_atom_site_type_symbol
_atom_site_fract_x
_atom_site_fract_y
_atom_site_fract_z
Pm1 Pm 0.0000 0.0333 0.2500
Ni1 Ni 0.0000 0.3357 0.0496
Ge1 Ge 0.0000 0.2346 0.7500
N1 N 0.0000 0.5000 0.0000
# formation energy (no corrections): -0.727 eV/atom
# calculated volume: 14.21 A^3/atom
# Fermi-level density of states: 9.40 states/eV per cell
# total moment: 0.000 μB per cell
# crystal system: orthorhombic

***

# Na3DyRh3O8 | Alexandria | PBE | optimized geometry
data_Na3DyRh3O8
_cell_length_a 6.2947
_cell_length_b 6.2947
_cell_length_c 16.4881
_cell_angle_alpha 90.00
_cell_angle_beta 90.00
_cell_angle_gamma 120.00
_symmetry_space_group_name_H-M 'R -3 m'
_symmetry_Int_Tables_number 166
_symmetry_space_group_name_Hall '-R 3 2"'
loop_
_atom_site_label
_atom_site_type_symbol
_atom_site_fract_x
_atom_site_fract_y
_atom_site_fract_z
Na1 Na 0.0000 0.5000 0.0000
Dy1 Dy 0.0000 0.0000 0.5000
Rh1 Rh 0.0000 0.5000 0.5000
O1 O 0.0000 0.0000 0.2310
O2 O 0.0215 0.5108 0.7656
# formation energy (no corrections): -1.423 eV/atom
# calculated volume: 12.57 A^3/atom
# Fermi-level density of states: 15.07 states/eV per cell
# total moment: 1.784 μB per cell
# crystal system: trigonal

***

# KRhCl2 | Alexandria | PBE | optimized geometry
data_KRhCl2
_cell_length_a 3.6044
_cell_length_b 6.0512
_cell_length_c 8.9219
_cell_angle_alpha 90.00
_cell_angle_beta 90.00
_cell_angle_gamma 90.00
_symmetry_space_group_name_H-M 'I m m m'
_symmetry_Int_Tables_number 71
_symmetry_space_group_name_Hall '-I 2 2'
loop_
_atom_site_label
_atom_site_type_symbol
_atom_site_fract_x
_atom_site_fract_y
_atom_site_fract_z
K1 K 0.0000 0.0000 0.0000
Rh1 Rh 0.0000 0.0000 0.5000
Cl1 Cl 0.0000 0.5000 0.1725
# formation energy (no corrections): -0.781 eV/atom
# calculated volume: 24.32 A^3/atom
# ΔE to the lowest computed polymorph: 0.0 meV/atom
# total moment: 0.000 μB per cell
# crystal system: orthorhombic

***

# Nd8TmSb6 | Alexandria | PBE | optimized geometry
data_Nd8TmSb6
_cell_length_a 8.1798
_cell_length_b 8.1798
_cell_length_c 25.8624
_cell_angle_alpha 90.00
_cell_angle_beta 90.00
_cell_angle_gamma 120.00
_symmetry_space_group_name_H-M 'R -3'
_symmetry_Int_Tables_number 148
_symmetry_space_group_name_Hall '-R 3'
loop_
_atom_site_label
_atom_site_type_symbol
_atom_site_fract_x
_atom_site_fract_y
_atom_site_fract_z
Nd1 Nd 0.0000 0.0000 0.1667
Nd2 Nd 0.0020 0.3411 0.3788
Tm1 Tm 0.0000 0.0000 0.5000
Sb1 Sb 0.0013 0.3251 0.5656
# formation energy (no corrections): -0.800 eV/atom
# calculated volume: 33.30 A^3/atom
# Fermi-level density of states: 48.22 states/eV per cell
# total moment: 0.000 μB per cell
# crystal system: trigonal

***

# SrPm2Y | Alexandria | PBE | optimized geometry
data_SrPm2Y
_cell_length_a 3.6634
_cell_length_b 3.6634
_cell_length_c 39.1691
_cell_angle_alpha 90.00
_cell_angle_beta 90.00
_cell_angle_gamma 120.00
_symmetry_space_group_name_H-M 'R -3 m'
_symmetry_Int_Tables_number 166
_symmetry_space_group_name_Hall '-R 3 2"'
loop_
_atom_site_label
_atom_site_type_symbol
_atom_site_fract_x
_atom_site_fract_y
_atom_site_fract_z
Sr1 Sr 0.0000 0.0000 0.0000
Pm1 Pm 0.0000 0.0000 0.0932
Y1 Y 0.0000 0.0000 0.5000
# E_form: 191 meV per atom
# calculated volume: 37.94 A^3/atom
# ΔE to the lowest computed polymorph: 91.5 meV/atom
# Fermi-level density of states: 17.44 states/eV per cell
# total moment: 0.000 μB per cell
# crystal system: trigonal

***

# Li8BiS6 | Alexandria | PBE | optimized geometry
data_Li8BiS6
_cell_length_a 7.1036
_cell_length_b 7.1036
_cell_length_c 13.5102
_cell_angle_alpha 90.00
_cell_angle_beta 90.00
_cell_angle_gamma 120.00
_symmetry_space_group_name_H-M 'P 63 c m'
_symmetry_Int_Tables_number 185
_symmetry_space_group_name_Hall 'P 6c -2'
loop_
_atom_site_label
_atom_site_type_symbol
_atom_site_fract_x
_atom_site_fract_y
_atom_site_fract_z
Li1 Li 0.0000 0.3292 0.0000
Li2 Li 0.0000 0.3829 0.3677
Li3 Li 0.3333 0.6667 0.1297
Bi1 Bi 0.0000 0.0000 0.2257
S1 S 0.0000 0.0000 0.4215
S2 S 0.0000 0.3547 0.1847
S3 S 0.3333 0.6667 0.4477
# formation energy (no corrections): -1.041 eV/atom
# calculated volume: 19.68 A^3/atom
# ΔE to the lowest computed polymorph: 11.2 meV/atom
# Fermi-level density of states: 8.41 states/eV per cell
# total moment: 1.126 μB per cell
# crystal system: hexagonal

***

# Zn2IrPb | Alexandria | PBE | optimized geometry
data_Zn2IrPb
_cell_length_a 3.2851
_cell_length_b 4.5706
_cell_length_c 4.7936
_cell_angle_alpha 90.00
_cell_angle_beta 90.00
_cell_angle_gamma 90.00
_symmetry_space_group_name_H-M 'P m m m'
_symmetry_Int_Tables_number 47
loop_
_symmetry_equiv_pos_as_xyz
'x,y,z'
'-x,-y,-z'
'-x,-y,z'
'x,y,-z'
'x,-y,-z'
'-x,y,z'
'-x,y,-z'
'x,-y,z'
loop_
_atom_site_label
_atom_site_type_symbol
_atom_site_fract_x
_atom_site_fract_y
_atom_site_fract_z
Zn1 Zn 0.0000 0.0000 0.0000
Zn2 Zn 0.5000 0.0000 0.5000
Ir1 Ir 0.0000 0.5000 0.5000
Pb1 Pb 0.5000 0.5000 0.0000
# E_form: 348 meV per atom
# calculated volume: 17.99 A^3/atom
# Fermi-level density of states: 2.29 states/eV per cell
# total moment: 0.000 μB per cell
# crystal system: orthorhombic

***

# Dy4PdRh2 | Alexandria | PBE | optimized geometry
data_Dy4PdRh2
_cell_length_a 4.8547
_cell_length_b 4.8547
_cell_length_c 6.8869
_cell_angle_alpha 90.00
_cell_angle_beta 90.00
_cell_angle_gamma 90.00
_symmetry_space_group_name_H-M 'P 4/m m m'
_symmetry_Int_Tables_number 123
_symmetry_space_group_name_Hall '-P 4 2'
loop_
_atom_site_label
_atom_site_type_symbol
_atom_site_fract_x
_atom_site_fract_y
_atom_site_fract_z
Dy1 Dy 0.0000 0.5000 0.2495
Pd1 Pd 0.0000 0.0000 0.5000
Rh1 Rh 0.0000 0.0000 0.0000
Rh2 Rh 0.5000 0.5000 0.5000
# E_form: -748 meV per atom
# calculated volume: 23.19 A^3/atom
# ΔE to the lowest computed polymorph: 32.5 meV/atom
# Fermi-level density of states: 4.32 states/eV per cell
# total moment: 0.000 μB per cell
# crystal system: tetragonal

***

# CaRhF2 | Alexandria | PBE | optimized geometry
data_CaRhF2
_cell_length_a 3.3131
_cell_length_b 3.3131
_cell_length_c 24.0570
_cell_angle_alpha 90.00
_cell_angle_beta 90.00
_cell_angle_gamma 120.00
_symmetry_space_group_name_H-M 'R -3 m'
_symmetry_Int_Tables_number 166
_symmetry_space_group_name_Hall '-R 3 2"'
loop_
_atom_site_label
_atom_site_type_symbol
_atom_site_fract_x
_atom_site_fract_y
_atom_site_fract_z
Ca1 Ca 0.0000 0.0000 0.0000
Rh1 Rh 0.0000 0.0000 0.5000
F1 F 0.0000 0.0000 0.2874
# formation energy (no corrections): -1.909 eV/atom
# calculated volume: 19.06 A^3/atom
# ΔE to the lowest computed polymorph: 68.1 meV/atom
# Fermi-level density of states: 5.40 states/eV per cell
# total moment: 4.891 μB per cell
# crystal system: trigonal

***

# Ti3CuTe | Alexandria | PBE | optimized geometry
data_Ti3CuTe
_cell_length_a 4.9634
_cell_length_b 4.9634
_cell_length_c 4.9634
_cell_angle_alpha 90.00
_cell_angle_beta 90.00
_cell_angle_gamma 90.00
_symmetry_space_group_name_H-M 'P m -3 m'
_symmetry_Int_Tables_number 221
_symmetry_space_group_name_Hall '-P 4 2 3'
loop_
_atom_site_label
_atom_site_type_symbol
_atom_site_fract_x
_atom_site_fract_y
_atom_site_fract_z
Ti1 Ti 0.0000 0.0000 0.5000
Cu1 Cu 0.5000 0.5000 0.5000
Te1 Te 0.0000 0.0000 0.0000
# formation energy (no corrections): 0.975 eV/atom
# calculated volume: 24.45 A^3/atom
# ΔE to the lowest computed polymorph: 658.4 meV/atom
# Fermi-level density of states: 4.87 states/eV per cell
# total moment: 1.073 μB per cell
# crystal system: cubic

***

# TbSm5Tm3 | Alexandria | PBE | optimized geometry
data_TbSm5Tm3
_cell_length_a 16.3235
_cell_length_b 6.7131
_cell_length_c 11.4605
_cell_angle_alpha 90.00
_cell_angle_beta 108.69
_cell_angle_gamma 90.00
_symmetry_space_group_name_H-M 'C 1 2/c 1'
_symmetry_Int_Tables_number 15
loop_
_symmetry_equiv_pos_as_xyz
'x,y,z'
'-x,-y,-z'
'-x,y,-z+1/2'
'x,-y,z+1/2'
'x+1/2,y+1/2,z'
'-x+1/2,-y+1/2,-z'
'-x+1/2,y+1/2,-z+1/2'
'x+1/2,-y+1/2,z+1/2'
loop_
_atom_site_label
_atom_site_type_symbol
_atom_site_fract_x
_atom_site_fract_y
_atom_site_fract_z
Tb1 Tb 0.0000 0.1816 0.2500
Sm1 Sm 0.0000 0.2785 0.7500
Sm2 Sm 0.1081 0.0049 0.0454
Sm3 Sm 0.2403 0.1164 0.8574
Tm1 Tm 0.0000 0.5000 0.0000
Tm2 Tm 0.1751 0.3846 0.3734
# E_form: 174 meV per atom
# calculated volume: 33.05 A^3/atom
# ΔE to the lowest computed polymorph: 0.0 meV/atom
# Fermi-level density of states: 53.59 states/eV per cell
# total moment: 0.000 μB per cell
# crystal system: monoclinic

***

# CdFeBr2 | Alexandria | PBE | optimized geometry
data_CdFeBr2
_cell_length_a 10.9567
_cell_length_b 3.4006
_cell_length_c 6.9495
_cell_angle_alpha 90.00
_cell_angle_beta 115.10
_cell_angle_gamma 90.00
_symmetry_space_group_name_H-M 'C 1 m 1'
_symmetry_Int_Tables_number 8
loop_
_symmetry_equiv_pos_as_xyz
'x,y,z'
'x,-y,z'
'x+1/2,y+1/2,z'
'x+1/2,-y+1/2,z'
loop_
_atom_site_label
_atom_site_type_symbol
_atom_site_fract_x
_atom_site_fract_y
_atom_site_fract_z
Cd1 Cd 0.0000 0.0000 0.0000
Fe1 Fe 0.2155 0.5000 0.9990
Br1 Br 0.2053 0.0000 0.7188
Br2 Br 0.3559 0.0000 0.2793
# formation energy (no corrections): -0.118 eV/atom
# calculated volume: 29.31 A^3/atom
# ΔE to the lowest computed polymorph: 0.0 meV/atom
# Fermi-level density of states: 4.05 states/eV per cell
# total moment: 7.740 μB per cell
# crystal system: monoclinic